(1)
Compound: Ac5Sb
Source: the Alexandria database
Functional: GGA-PBE
Structure: relaxed

The symmetry is Cmmm (65).

Cell: 5.3477 5.3197 8.8556 Å, 107.48 90.00 90.00°
With the nearest neighbours (Å) after each atom.
Fractional positions:
Ac: 0.0000 0.6595 0.3190  10 Ac 3.77-4.06, 2 Sb 3.79
Sb: 0.0000 0.0000 0.0000  12 Ac 3.77-3.80
Ac: 0.5000 0.8403 0.6806  10 Ac 3.77-4.06, 2 Sb 3.80
Ac: 0.5000 0.1597 0.3194  10 Ac 3.77-4.06, 2 Sb 3.80
Ac: 0.5000 0.5000 0.0000  4 Sb 3.77, 8 Ac 3.79-3.80
Ac: 0.0000 0.3405 0.6810  10 Ac 3.77-4.06, 2 Sb 3.79


(2)
Compound: AcSb3
Source: the Alexandria database
Functional: GGA-PBE
Structure: relaxed

For the distance to the lowest polymorph of the same formula, the calculation gives 0.036 eV per atom. The symmetry is Immm (71).

Cell: 4.3896 5.1262 6.3762 Å, 113.70 110.13 90.00°
With the nearest neighbours (Å) after each atom.
Fractional positions:
Sb: 0.2338 0.6506 0.4677  6 Sb 3.35-3.39, 4 Ac 3.60-3.62
Sb: 0.7662 0.1829 0.5323  6 Sb 3.35-3.39, 4 Ac 3.60-3.62
Ac: 0.0000 0.9166 0.0000  12 Sb 3.37-3.62
Sb: 0.5000 0.4166 0.0000  4 Sb 3.35, 4 Ac 3.37


no.,uncorrected energy (eV/atom),D(E_F) (states/eV per atom),uncorrected formation energy (eV per atom)
1,-4.3627,1.123,-0.25
2,-4.6465,0.682,-0.53